# 1
An optimized crystal structure of BaCaAsSe2, computed with PBE.

As for the total energy: -3.24 eV/atom. The relative energy among the computed polymorphs comes out at 0.686 eV/atom. The calculation puts the uncorrected formation energy at -133.5 meV/atom.

Lattice parameters (Å, degrees): 5.898 5.898 5.677 90.00 90.00 90.00
Space group P4/mmm (No. 123)
Symmetry-distinct sites (fractional):
Ba  0.000  0.000  0.000 [1 per cell]
Ca  0.500  0.500  0.500 [1 per cell]
As  0.000  0.000  0.500 [1 per cell]
Se  0.000  0.500  0.000 [2 per cell]


# 2
An optimized crystal structure of Hf2ReSe, computed with PBE.

As for the total energy: -8.69 eV/atom. The calculation puts the uncorrected formation energy at 268.7 meV/atom.

Lattice parameters (Å, degrees): 3.1297 3.1297 27.7846 90.00 90.00 120.00
Space group R-3m (No. 166, hexagonal axes)
Symmetry-distinct sites (fractional):
Hf  0.0000  0.0000  0.0924 [6 per cell]
Re  0.0000  0.0000  0.0000 [3 per cell]
Se  0.0000  0.0000  0.5000 [3 per cell]


# 3
An optimized crystal structure of Ba2MgCdAu, computed with PBE.

As for the total energy: -2.23 eV/atom. The calculation puts the formation energy at -0.3047 eV/atom.

Lattice parameters (Å, degrees): 6.336 6.336 5.177 90.00 90.00 90.00
Space group P4/mmm (No. 123)
Symmetry-distinct sites (fractional):
Ba  0.000  0.500  0.000 [2 per cell]
Mg  0.000  0.000  0.500 [1 per cell]
Cd  0.500  0.500  0.500 [1 per cell]
Au  0.000  0.000  0.000 [1 per cell]


# 4
An optimized crystal structure of Na2ZrAs2, computed with PBE.

As for the total energy: -3.92 eV/atom. The calculation puts the formation energy at 0.1733 eV/atom.

Lattice parameters (Å, degrees): 5.099 5.099 8.233 90.00 90.00 90.00
Space group I4/mmm (No. 139)
Symmetry-distinct sites (fractional):
Na  0.000  0.000  0.138 [4 per cell]
Zr  0.000  0.000  0.500 [2 per cell]
As  0.000  0.500  0.250 [4 per cell]


# 5
An optimized crystal structure of Cs2CdRuO6, computed with PBE.

As for the total energy: -5.06 eV/atom. The calculation puts the uncorrected formation energy at -895.6 meV/atom.

Lattice parameters (Å, degrees): 6.5179 6.5179 5.7628 90.00 90.00 120.00
Space group P-3m1 (No. 164)
Symmetry-distinct sites (fractional):
Cs  0.3333  0.6667  0.3119 [2 per cell]
Cd  0.0000  0.0000  0.0000 [1 per cell]
Ru  0.0000  0.0000  0.5000 [1 per cell]
O  0.1358  0.2716  0.6953 [6 per cell]


# 6
An optimized crystal structure of TmCdIrRh, computed with PBE.

As for the total energy: -5.88 eV/atom. The calculation puts the formation energy at -0.4851 eV/atom.

Lattice parameters (Å, degrees): 6.604 6.604 6.604 90.00 90.00 90.00
Space group F-43m (No. 216)
Symmetry-distinct sites (fractional):
Tm  0.000  0.000  0.000 [4 per cell]
Cd  0.000  0.000  0.500 [4 per cell]
Ir  0.250  0.250  0.750 [4 per cell]
Rh  0.250  0.250  0.250 [4 per cell]


# 7
An optimized crystal structure of Zr2TePb, computed with PBE.

As for the total energy: -6.15 eV/atom. The relative energy among the computed polymorphs comes out at 0.275 eV/atom. The calculation puts the uncorrected formation energy at -161.2 meV/atom.

Lattice parameters (Å, degrees): 4.332 4.332 10.272 90.00 90.00 90.00
Space group I-4m2 (No. 119)
Symmetry-distinct sites (fractional):
Zr  0.000  0.000  0.000 [2 per cell]
Zr  0.000  0.500  0.250 [2 per cell]
Te  0.000  0.500  0.750 [2 per cell]
Pb  0.000  0.000  0.500 [2 per cell]


# 8
An optimized crystal structure of Pr8SiP3Br4, computed with PBE.

As for the total energy: -5.57 eV/atom. The calculation puts the uncorrected formation energy at -1406.9 meV/atom.

Lattice parameters (Å, degrees): 8.4539 8.4539 22.1774 90.00 90.00 120.00
Space group R-3m (No. 166, hexagonal axes)
Symmetry-distinct sites (fractional):
Pr  0.0000  0.0000  0.2337 [6 per cell]
Pr  0.0037  0.5018  0.7652 [18 per cell]
Si  0.0000  0.0000  0.5000 [3 per cell]
P  0.0000  0.5000  0.5000 [9 per cell]
Br  0.0000  0.0000  0.0000 [3 per cell]
Br  0.0000  0.5000  0.0000 [9 per cell]


# 9
An optimized crystal structure of ScCr2Sb, computed with PBE.

As for the total energy: -7.34 eV/atom. The calculation puts the uncorrected formation energy at 89.1 meV/atom.

Lattice parameters (Å, degrees): 3.142 4.296 5.593 90.00 98.23 90.00
Space group Pm (No. 6)
Symmetry-distinct sites (fractional):
Sc  0.000  0.000  0.000 [1 per cell]
Cr  0.388  0.000  0.454 [1 per cell]
Cr  0.694  0.500  0.303 [1 per cell]
Sb  0.432  0.500  0.765 [1 per cell]


# 10
An optimized crystal structure of Mg2TeOs, computed with PBE.

As for the total energy: -4.08 eV/atom. The calculation puts the uncorrected formation energy at 314.2 meV/atom.

Lattice parameters (Å, degrees): 3.286 3.968 5.878 90.00 90.00 90.00
Space group Pmm2 (No. 25)
Symmetry-distinct sites (fractional):
Mg  0.000  0.000  0.000 [1 per cell]
Mg  0.500  0.500  0.256 [1 per cell]
Te  0.500  0.500  0.716 [1 per cell]
Os  0.000  0.000  0.486 [1 per cell]


# 11
An optimized crystal structure of Na2Mn3SnS8, computed with PBE.

As for the total energy: -5.38 eV/atom. The calculation puts the uncorrected formation energy at -580.3 meV/atom.

Lattice parameters (Å, degrees): 7.1190 7.1190 20.7259 90.00 90.00 120.00
Space group R3m (No. 160, hexagonal axes)
Symmetry-distinct sites (fractional):
Na  0.0000  0.0000  0.0000 [3 per cell]
Na  0.0000  0.0000  0.3553 [3 per cell]
Mn  0.0080  0.5040  0.8640 [9 per cell]
Sn  0.0000  0.0000  0.7490 [3 per cell]
S  0.0000  0.0000  0.1349 [3 per cell]
S  0.0000  0.0000  0.5875 [3 per cell]
S  0.0403  0.5202  0.1300 [9 per cell]
S  0.1774  0.3548  0.9217 [9 per cell]


# 12
An optimized crystal structure of Sm2Dy3Sc4, computed with PBE.

As for the total energy: -5.34 eV/atom. The relative energy among the computed polymorphs comes out at 0.000 eV/atom. The calculation puts the formation energy at 0.0560 eV/atom.

Lattice parameters (Å, degrees): 14.584 4.837 7.680 90.00 108.02 90.00
Space group C2/m (No. 12)
Symmetry-distinct sites (fractional):
Sm  0.225  0.000  0.328 [4 per cell]
Dy  0.000  0.000  0.000 [2 per cell]
Dy  0.052  0.500  0.331 [4 per cell]
Sc  0.111  0.000  0.672 [4 per cell]
Sc  0.170  0.500  0.999 [4 per cell]


# 13
An optimized crystal structure of PmIrC, computed with PBE.

As for the total energy: -7.60 eV/atom. The relative energy among the computed polymorphs comes out at 0.450 eV/atom. The calculation puts the formation energy at 0.0101 eV/atom.

Lattice parameters (Å, degrees): 3.669 3.669 7.599 90.00 90.00 90.00
Space group P4/nmm (No. 129, origin choice 2)
Symmetry-distinct sites (fractional):
Pm  0.250  0.250  0.170 [2 per cell]
Ir  0.250  0.250  0.577 [2 per cell]
C  0.250  0.250  0.829 [2 per cell]


# 14
An optimized crystal structure of Hf12Sn6C, computed with PBE.

As for the total energy: -8.11 eV/atom. The calculation puts the formation energy at -0.0744 eV/atom.

Lattice parameters (Å, degrees): 11.9816 11.9816 10.6733 90.00 90.00 120.00
Space group R-3 (No. 148, hexagonal axes)
Symmetry-distinct sites (fractional):
Hf  0.0314  0.1688  0.3764 [18 per cell]
Hf  0.0673  0.1735  0.8755 [18 per cell]
Sn  0.0307  0.4103  0.3037 [18 per cell]
C  0.0000  0.0000  0.0000 [3 per cell]


# 15
An optimized crystal structure of Hf6BSb2, computed with PBE.

As for the total energy: -8.23 eV/atom. The calculation puts the uncorrected formation energy at 65.3 meV/atom.

Lattice parameters (Å, degrees): 5.794 5.794 13.231 90.00 90.00 90.00
Space group P4_2/mnm (No. 136)
Symmetry-distinct sites (fractional):
Hf  0.194  0.194  0.117 [8 per cell]
Hf  0.202  0.202  0.500 [4 per cell]
B  0.000  0.000  0.000 [2 per cell]
Sb  0.000  0.000  0.303 [4 per cell]


The following N(E_F) values (in states/eV/f.u.) correspond, in order, to the records above: 6.224 3.432 3.291 2.465 12.533 2.170 4.976 6.508 2.590 2.925 1.685 13.488 2.303 21.313 6.664.